(1)
Computed, not measured: a relaxed InTcH5 crystal at the PBE level of DFT.

Values from the calculation:
Total DFT energy (no corrections): -3.947 eV/atom

POSCAR file:
```
InTcH5
1.0
-2.9091 2.9132 1.8520
2.9091 -2.9132 1.8520
2.9091 2.9132 -1.8520
In Tc H
1 1 5
Direct
0.0000 0.0000 0.0000
0.2516 0.7516 0.5000
0.3729 0.5996 0.7733
0.4017 0.1761 0.7744
0.4017 0.6273 0.2256
0.7526 0.2526 0.5000
0.8263 0.5996 0.2267
```

(2)
Computed, not measured: a relaxed MgZr2Si crystal at the PBE level of DFT.

Values from the calculation:
E_form (uncorrected): -73 meV/atom

POSCAR file:
```
MgZr2Si
1.0
1.5541 0.8973 9.9146
-1.5541 0.8973 9.9146
0.0000 -1.7945 9.9146
Mg Zr Si
1 2 1
Direct
0.0000 0.0000 0.0000
0.2426 0.2426 0.2426
0.7574 0.7574 0.7574
0.5000 0.5000 0.5000
```

(3)
Computed, not measured: a relaxed YPaAs2N crystal at the PBE level of DFT.

Values from the calculation:
E_form (uncorrected): -1258 meV/atom

POSCAR file:
```
YPaAs2N
1.0
3.9856 0.0000 0.0000
0.0000 3.9856 0.0000
0.0000 0.0000 13.5452
Y Pa As N
2 2 4 2
Direct
0.2500 0.2500 0.1057
0.7500 0.7500 0.8943
0.2500 0.2500 0.5867
0.7500 0.7500 0.4133
0.2500 0.2500 0.3172
0.2500 0.2500 0.8851
0.7500 0.7500 0.1149
0.7500 0.7500 0.6828
0.2500 0.7500 0.5000
0.7500 0.2500 0.5000
```

(4)
Computed, not measured: a relaxed SrTbNd2S4 crystal at the PBE level of DFT.

Values from the calculation:
E_form (uncorrected): -2015 meV/atom

POSCAR file:
```
SrTbNd2S4
1.0
7.0556 0.0000 0.0000
0.0000 4.0479 0.0000
-2.3113 0.0000 6.6973
Sr Tb Nd S
1 1 2 4
Direct
0.0000 0.0000 0.0000
0.5000 0.5000 0.0000
0.0000 0.5000 0.5000
0.5000 0.0000 0.5000
0.2591 0.5000 0.2495
0.2606 0.0000 0.7578
0.7394 0.0000 0.2422
0.7409 0.5000 0.7505
```

(5)
Computed, not measured: a relaxed PaSbC crystal at the PBE level of DFT.

Values from the calculation:
E_form (uncorrected): -217 meV/atom

POSCAR file:
```
PaSbC
1.0
-1.7349 1.7349 10.6519
1.7349 -1.7349 10.6519
1.7349 1.7349 -10.6519
Pa Sb C
2 2 2
Direct
0.1859 0.1859 0.0000
0.8141 0.8141 0.0000
0.4285 0.4285 0.0000
0.5715 0.5715 0.0000
0.2951 0.2951 0.0000
0.7049 0.7049 0.0000
```

(6)
Computed, not measured: a relaxed BaSiW2 crystal at the PBE level of DFT.

Values from the calculation:
E_form (uncorrected): 757 meV/atom

POSCAR file:
```
BaSiW2
1.0
1.6108 0.9300 9.4936
-1.6108 0.9300 9.4936
0.0000 -1.8600 9.4936
Ba Si W
1 1 2
Direct
0.0000 0.0000 0.0000
0.7632 0.7632 0.7632
0.2269 0.2269 0.2269
0.4956 0.4956 0.4956
```

(7)
Computed, not measured: a relaxed Re2NiHg crystal at the PBE level of DFT.

Values from the calculation:
Energy of formation from the pure elements: 0.565 eV per atom

POSCAR file:
```
Re2NiHg
1.0
1.3933 0.8044 9.1793
-1.3933 0.8044 9.1793
0.0000 -1.6088 9.1793
Re Ni Hg
2 1 1
Direct
0.2404 0.2404 0.2404
0.7596 0.7596 0.7596
0.5000 0.5000 0.5000
0.0000 0.0000 0.0000
```

(8)
Computed, not measured: a relaxed LuCdGaCu crystal at the PBE level of DFT.

Values from the calculation:
Energy of formation from the pure elements: -0.264 eV per atom

POSCAR file:
```
LuCdGaCu
1.0
0.0000 3.3458 3.3458
3.3458 0.0000 3.3458
3.3458 3.3458 0.0000
Lu Cd Ga Cu
1 1 1 1
Direct
0.0000 0.0000 0.0000
0.5000 0.5000 0.5000
0.7500 0.7500 0.7500
0.2500 0.2500 0.2500
```

Copy entry 5 word for word.
Computed, not measured: a relaxed PaSbC crystal at the PBE level of DFT.

Values from the calculation:
E_form (uncorrected): -217 meV/atom

POSCAR file:
```
PaSbC
1.0
-1.7349 1.7349 10.6519
1.7349 -1.7349 10.6519
1.7349 1.7349 -10.6519
Pa Sb C
2 2 2
Direct
0.1859 0.1859 0.0000
0.8141 0.8141 0.0000
0.4285 0.4285 0.0000
0.5715 0.5715 0.0000
0.2951 0.2951 0.0000
0.7049 0.7049 0.0000
```